# MnTl2GaF6, optimized geometry, DFT GGA+U
# DOS(E_F) in states/eV/f.u.: 1.73
# Total energy in eV/atom: -4.77
# V in Å³/atom: 16.21
data_MnTl2GaF6
_chemical_formula_sum 'Mn4 Tl8 Ga4 F24'
_cell_length_a 8.6553
_cell_length_b 8.6553
_cell_length_c 8.6553
_cell_angle_alpha 90.00
_cell_angle_beta 90.00
_cell_angle_gamma 90.00
_symmetry_space_group_name_H-M 'F m -3 m'
_symmetry_Int_Tables_number 225
_symmetry_space_group_name_Hall '-F 4 2 3'
loop_
_atom_site_label
_atom_site_type_symbol
_atom_site_fract_x
_atom_site_fract_y
_atom_site_fract_z
Mn1 Mn 0.0000 0.0000 0.0000
Tl1 Tl 0.2500 0.2500 0.2500
Ga1 Ga 0.0000 0.0000 0.5000
F1 F 0.0000 0.0000 0.2477